[1]
CdTeI2F (PBE, optimized geometry); magnetic moment = 2.13 μB per cell; raw total energy = -1.6664 eV/atom; energy above the lowest structure with this stoichiometry = 272 meV per atom
1.0
5.7906 0.0000 0.0000
0.0000 5.7906 0.0000
0.0000 0.0000 5.9394
I F Te Cd
2 1 1 1
direct
0.0000 0.5000 0.0000
0.5000 0.0000 0.0000
0.5000 0.5000 0.5000
0.0000 0.0000 0.5000
0.0000 0.0000 0.0000

***

[2]
CdTe2IF (PBE, optimized geometry); magnetic moment = 2.64 μB per cell; raw total energy = -1.8370 eV/atom; energy above the lowest structure with this stoichiometry = 401 meV per atom
1.0
-4.6202 -2.2469 -2.4543
3.2898 -2.4543 -3.9462
0.5096 -4.7153 3.3575
I F Te Cd
1 1 2 1
direct
0.0000 0.0000 0.5000
0.5000 0.5000 0.5000
0.0000 0.5000 0.0000
0.5000 0.0000 0.0000
0.0000 0.0000 0.0000

***

[3]
CdTeI2F (PBE, optimized geometry); magnetic moment = 0.48 μB per cell; raw total energy = -1.9388 eV/atom; energy above the lowest structure with this stoichiometry = 0 meV per atom
1.0
-1.7548 -2.2086 5.3594
-1.9872 -5.0310 -2.7239
3.8154 -1.7851 0.5136
I F Te Cd
2 1 1 1
direct
0.0000 0.5000 0.0000
0.5000 0.0000 0.0000
0.0000 0.0000 0.0000
0.0000 0.0000 0.5000
0.5000 0.5000 0.5000

***

[4]
CdTe2IF (PBE, optimized geometry); magnetic moment = 0.00 μB per cell; raw total energy = -2.2383 eV/atom; energy above the lowest structure with this stoichiometry = 0 meV per atom
1.0
4.6534 0.0000 0.0000
0.0000 4.6534 0.0000
0.0000 0.0000 7.4113
I F Te Cd
1 1 2 1
direct
0.0000 0.0000 0.5000
0.0000 0.0000 0.0000
0.0000 0.5000 0.0000
0.5000 0.0000 0.0000
0.5000 0.5000 0.5000

***

[5]
TlCdIF2 (PBE, optimized geometry); magnetic moment = 0.00 μB per cell; raw total energy = -3.1298 eV/atom
1.0
4.6541 0.0000 0.0000
0.0000 4.6541 0.0000
0.0000 0.0000 5.9124
I Tl F Cd
1 1 2 1
direct
0.0000 0.0000 0.5000
0.5000 0.5000 0.5000
0.0000 0.5000 0.0000
0.5000 0.0000 0.0000
0.0000 0.0000 0.0000

***

[6]
Tl2CdI2F2 (PBE, optimized geometry); magnetic moment = 0.00 μB per cell; raw total energy = -3.0684 eV/atom
1.0
-3.8988 1.9962 -1.9263
-1.1973 -4.2081 -1.9376
-2.0850 -0.9245 9.2050
Tl Cd I F
2 1 2 2
direct
0.3908 0.3908 0.7815
0.6092 0.6092 0.2185
0.0000 0.0000 0.0000
0.1634 0.1634 0.3268
0.8366 0.8366 0.6732
0.0000 0.5000 0.0000
0.5000 0.0000 0.0000